[1]
A relaxed structure of Ca2UZnN4. Source: Alexandria via LeMat-Bulk, functional PBE.

Cell and atoms, written as POSCAR:
```
Ca2UZnN4
1.0
3.656 0.000 0.000
0.000 5.497 0.423
0.000 -1.573 5.575
Ca U Zn N
2 1 1 4
Cartesian
1.828 -0.787 2.787
0.000 1.962 2.999
1.828 2.749 0.212
0.000 0.000 0.000
1.828 1.305 1.532
1.828 2.619 4.466
0.000 0.112 4.540
0.000 3.812 1.458
```

[2]
A relaxed structure of CaUZnN3. Source: Alexandria via LeMat-Bulk, functional PBE.

Cell and atoms, written as POSCAR:
```
CaUZnN3
1.0
-0.795 0.988 3.331
-4.124 -7.307 1.183
5.654 -1.411 1.768
Ca U Zn N
2 2 2 6
Cartesian
0.560 -2.533 1.839
0.174 -5.197 4.444
-2.204 -4.849 1.866
2.939 -2.881 4.417
3.484 -1.009 2.085
-2.750 -6.721 4.198
-3.659 -5.123 3.507
4.393 -2.607 2.775
-0.943 -6.481 2.651
1.677 -1.249 3.632
-1.490 -3.283 3.479
2.224 -4.447 2.803
```

[3]
A relaxed structure of Ca4ZrU3N8. Source: Alexandria via LeMat-Bulk, functional PBE.

Cell and atoms, written as POSCAR:
```
Ca4ZrU3N8
1.0
6.887 0.000 0.000
0.000 6.939 0.030
-3.444 -3.439 4.873
Ca Zr U N
4 1 3 8
Cartesian
3.444 0.000 0.000
1.722 -1.720 2.437
0.000 0.000 0.000
-1.722 -1.720 2.437
0.000 3.469 0.015
3.444 3.469 0.015
1.722 1.750 2.452
-1.722 1.750 2.452
-1.709 1.596 4.767
0.000 3.303 2.349
0.000 0.171 2.554
1.709 1.596 4.767
1.734 1.904 0.136
3.444 3.328 2.349
3.444 0.197 2.554
5.153 1.904 0.136
```

[4]
A relaxed structure of Ca3ZrU3N8. Source: Alexandria via LeMat-Bulk, functional PBE.

Cell and atoms, written as POSCAR:
```
Ca3ZrU3N8
1.0
-1.918 4.940 -4.369
1.871 -6.162 -2.390
-6.010 0.682 3.409
Ca Zr U N
3 1 3 8
Cartesian
0.000 0.000 0.000
0.935 -3.081 -1.195
-0.023 -0.611 -3.379
-3.005 0.341 1.704
-3.964 2.811 -0.480
-3.029 -0.270 -1.675
-2.070 -2.740 0.510
-1.186 -1.721 -1.426
-4.871 1.182 -1.925
-2.302 0.681 -3.618
-3.756 -1.221 0.268
-3.248 3.800 -2.409
-2.809 -4.339 -0.941
-2.278 1.299 -0.198
-3.779 -1.839 -3.153
```

[5]
A relaxed structure of Ca3ZrU2N6. Source: Alexandria via LeMat-Bulk, functional PBE.

Cell and atoms, written as POSCAR:
```
Ca3ZrU2N6
1.0
5.929 -0.002 0.002
-2.965 5.135 0.002
-0.987 -1.709 5.657
Ca Zr U N
3 1 2 6
Cartesian
-2.003 3.440 2.831
3.981 -0.016 2.831
0.989 1.712 2.831
0.000 0.000 0.000
-0.001 3.424 0.002
2.966 1.710 0.002
2.986 1.674 4.462
1.957 3.388 1.211
-1.008 1.750 1.199
-0.042 3.423 4.462
0.021 0.036 4.450
2.019 0.001 1.199
```

[6]
A relaxed structure of Ca4Zr3UN8. Source: Alexandria via LeMat-Bulk, functional PBE.

Cell and atoms, written as POSCAR:
```
Ca4Zr3UN8
1.0
6.736 0.000 0.000
0.000 6.847 0.071
-3.368 -3.363 4.766
Ca Zr U N
4 3 1 8
Cartesian
3.368 0.000 0.000
1.684 -1.682 2.383
0.000 0.000 0.000
-1.684 -1.682 2.383
3.368 3.424 0.036
1.684 1.742 2.419
-1.684 1.742 2.419
0.000 3.424 0.036
-1.695 1.600 4.706
0.000 3.293 2.307
0.000 0.176 2.504
1.695 1.600 4.706
1.673 1.884 0.131
3.368 3.308 2.334
3.368 0.191 2.530
5.063 1.884 0.131
```

[7]
A relaxed structure of Ca5V2N6. Source: Alexandria via LeMat-Bulk, functional PBE.

Results
- Polymorph energy (0 for the lowest one): 0 meV per atom

Cell and atoms, written as POSCAR:
```
Ca5V2N6
1.0
-0.901 0.262 -3.204
-6.050 -7.647 1.078
-8.443 7.096 2.955
Ca V N
10 4 12
Cartesian
-6.617 1.139 0.215
-8.777 -1.428 0.613
-5.498 -6.167 -0.696
-9.896 5.878 1.524
-5.913 -2.342 -0.267
-9.481 2.053 1.095
-2.898 1.490 -0.802
-12.496 -1.779 1.631
-3.476 -3.693 -1.063
-4.672 3.679 -0.125
-4.185 -0.340 1.150
-10.307 -0.210 2.882
-6.727 -4.569 1.519
-7.765 4.019 2.513
-4.237 1.555 1.319
-10.255 -2.106 2.713
-4.915 -4.240 1.037
-9.577 3.690 2.996
-3.902 -0.810 -0.708
-11.492 0.521 1.536
-7.897 -3.818 0.170
-7.497 3.529 0.658
-5.873 -0.833 1.584
-8.620 0.283 2.448
-6.857 -6.372 1.409
-7.636 5.821 2.623
```

[8]
A relaxed structure of CaV2N2. Source: Alexandria via LeMat-Bulk, functional PBE.

Cell and atoms, written as POSCAR:
```
CaV2N2
1.0
3.214 0.000 0.000
0.000 3.214 0.000
0.000 0.000 7.644
Ca V N
1 2 2
Cartesian
1.607 1.607 0.000
0.000 0.000 5.064
0.000 0.000 2.580
0.000 1.607 1.665
1.607 0.000 5.979
```

[9]
A relaxed structure of CaVN2. Source: Alexandria via LeMat-Bulk, functional PBE.

Cell and atoms, written as POSCAR:
```
CaVN2
1.0
5.109 0.000 0.000
0.000 5.109 0.000
2.554 2.554 4.383
Ca V N
2 2 4
Cartesian
2.554 2.554 0.000
2.554 5.109 2.192
0.000 0.000 0.000
5.109 2.554 2.192
4.270 1.277 1.096
0.839 3.832 1.096
3.832 3.394 3.287
6.386 6.824 3.287
```

[10]
A relaxed structure of CaVN2. Source: Alexandria via LeMat-Bulk, functional PBE.

Cell and atoms, written as POSCAR:
```
CaVN2
1.0
2.061 0.000 6.094
-1.031 1.785 6.094
-1.031 -1.785 6.094
Ca V N
1 1 2
Cartesian
0.000 0.000 9.141
0.000 0.000 0.000
0.000 0.000 16.519
0.000 0.000 1.763
```

[11]
A relaxed structure of Ca5V2N6. Source: Alexandria via LeMat-Bulk, functional PBE.

Results
- Polymorph energy (0 for the lowest one): 59 meV per atom

Cell and atoms, written as POSCAR:
```
Ca5V2N6
1.0
4.804 0.000 0.000
0.000 6.572 -0.017
0.000 1.832 7.129
Ca V N
5 2 6
Cartesian
0.000 5.504 2.822
2.402 2.524 4.228
2.402 0.562 0.952
0.000 7.393 6.570
0.000 4.116 6.121
2.402 6.052 5.004
0.000 2.487 2.033
0.000 3.883 1.023
2.402 4.411 5.689
0.000 0.877 1.050
2.402 7.533 6.055
0.000 2.911 3.774
2.402 6.331 3.247
```

[12]
A relaxed structure of CaVN2. Source: Alexandria via LeMat-Bulk, functional PBE.

Cell and atoms, written as POSCAR:
```
CaVN2
1.0
-3.944 -3.734 3.883
-1.124 -4.689 4.617
-2.265 -2.149 5.901
Ca V N
1 1 2
Cartesian
0.000 0.000 0.000
-3.666 -5.286 7.201
-6.490 -9.357 12.747
-0.842 -1.215 1.655
```

E_form (uncorrected) / eV/atom: -0.9748; -0.9215; -1.3414; -1.2890; -1.3744; -1.4595; -0.9162; -0.3364; -0.9824; 0.0045; -0.8573; -0.2112